# 1
Dy4ErTl2 | PBE-GGA | optimized geometry

```
7
Lattice="5.4708 0.0000 0.0000 2.7354 4.7378 0.0000 2.7354 1.5793 8.7621" Properties=species:S:1:pos:R:3 pbc="T T T"
Dy 8.2062 4.7378 3.4508
Dy 2.7354 1.5793 1.8421
Er 5.4708 3.1586 4.3810
Tl 5.4708 3.1586 1.2655
Dy 2.7354 1.5793 5.3112
Dy 8.2062 4.7378 6.9200
Tl 5.4708 3.1586 7.4965
```

Computed properties:
Fermi-level density of states   1.6320 states/eV per atom
Excess energy over the best structure of this formula in the dataset   0 meV/atom
Formation enthalpy at 0 K   6.4 kJ per mole of atoms
Symmetry   R-3m
Density   8964 kg/m³

# 2
Si3HPd | PBE-GGA | optimized geometry

```
5
Lattice="4.6823 0.0000 0.0000 0.0000 4.6823 0.0000 0.0000 0.0000 4.6823" Properties=species:S:1:pos:R:3 pbc="T T T"
Pd 0.0000 0.0000 0.0000
Si 2.3411 0.0000 0.0000
Si 0.0000 0.0000 2.3411
H 2.3411 2.3411 2.3411
Si 0.0000 2.3411 0.0000
```

Computed properties:
Fermi-level density of states   0.8585 states/eV per atom
Excess energy over the best structure of this formula in the dataset   668 meV/atom
Symmetry   Pm-3m
Density   3101 kg/m³

# 3
POs2W | PBE-GGA | optimized geometry

```
8
Lattice="-2.2932 -3.5466 3.4594 0.1852 -3.8707 -3.8455 3.8905 -5.2047 1.5509" Properties=species:S:1:pos:R:3 pbc="T T T"
P -1.0540 -3.7086 -0.1930
P 1.5108 -6.3920 -1.2438
Os 1.0680 -10.2817 0.9365
W 0.0000 0.0000 0.0000
Os -0.3712 -3.8991 1.9692
W 0.2716 -6.2300 2.4086
Os 0.7354 -4.2662 -1.4833
Os 2.1327 -6.7969 0.9072
```

Computed properties:
Fermi-level density of states   0.5567 states/eV per atom
Formation enthalpy at 0 K   58.7 kJ per mole of atoms
Symmetry   I-42d
Density   12166 kg/m³

# 4
La3MgAs | PBE-GGA | optimized geometry

```
5
Lattice="-0.9941 -4.6268 -3.1782 1.9131 -3.3137 4.2256 -5.2771 -0.3297 2.1306" Properties=species:S:1:pos:R:3 pbc="T T T"
La -2.6386 -0.1649 1.0653
La -0.4970 -2.3134 -1.5891
La 0.9565 -1.6568 2.1128
As -2.1791 -4.1351 1.5890
Mg 0.0000 0.0000 0.0000
```

Computed properties:
Fermi-level density of states   0.4215 states/eV per atom
Formation enthalpy at 0 K   36.3 kJ per mole of atoms
Symmetry   Pm-3m
Density   4625 kg/m³

# 5
BaTa2Cu | PBE-GGA | optimized geometry

```
4
Lattice="5.0297 -0.0042 0.0070 4.0232 3.0186 0.0070 1.1386 0.3791 6.7341" Properties=species:S:1:pos:R:3 pbc="T T T"
Ta 2.6698 0.8890 0.7245
Ba 4.9772 1.6573 3.5236
Ta 0.1765 0.0588 0.2679
Cu 7.4637 2.4853 5.6060
```

Computed properties:
Fermi-level density of states   0.9319 states/eV per atom
Excess energy over the best structure of this formula in the dataset   199 meV/atom
Formation enthalpy at 0 K   67.8 kJ per mole of atoms
Symmetry   Cm
Density   9132 kg/m³

# 6
SrCaTeO6 | PBE-GGA | optimized geometry

```
9
Lattice="5.7728 0.0006 0.0000 2.8870 4.9993 -0.0001 0.0001 -0.0004 5.1316" Properties=species:S:1:pos:R:3 pbc="T T T"
O 4.5065 1.6368 3.6353
O 1.2664 1.6348 1.4972
O 3.6706 3.0845 1.4960
O 2.1027 3.0858 3.6337
O 2.0492 0.2790 3.6345
Te 2.8869 1.6667 2.5658
O 3.7238 0.2781 1.4977
Sr 8.6593 4.9994 5.1313
Ca 5.7728 3.3329 2.5655
```

Computed properties:
Fermi-level density of states   0.6267 states/eV per atom
Electronic total energy   -5.75 eV per atom
Symmetry   P312
Density   3939 kg/m³

# 7
NaCdGa | PBE-GGA | optimized geometry

```
3
Lattice="4.7887 0.0000 0.0000 2.3943 4.1471 0.0000 2.3943 1.3824 3.9099" Properties=species:S:1:pos:R:3 pbc="T T T"
Cd 0.0000 0.0000 0.0000
Ga 2.3943 1.3824 0.9775
Na 4.7887 2.7647 1.9550
```

Computed properties:
Fermi-level density of states   0.7065 states/eV per atom
Excess energy over the best structure of this formula in the dataset   148 meV/atom
Formation enthalpy at 0 K   5.6 kJ per mole of atoms
Symmetry   F-43m
Density   4387 kg/m³

# 8
ReNiP2 | PBE-GGA | optimized geometry

```
4
Lattice="-0.8641 -2.6861 -1.0119 2.8700 -0.8269 -0.2558 -0.0928 -1.9380 5.2236" Properties=species:S:1:pos:R:3 pbc="T T T"
P -0.0469 -0.9796 2.6403
Ni 0.9333 -3.2100 3.2839
Re 0.9797 -2.2410 0.6721
P -0.0923 -1.9274 5.1951
```

Computed properties:
Fermi-level density of states   0.3886 states/eV per atom
Excess energy over the best structure of this formula in the dataset   177 meV/atom
Formation enthalpy at 0 K   -7.9 kJ per mole of atoms
Symmetry   P4/mmm
Density   10176 kg/m³

# 9
SmCdCu3 | PBE-GGA | optimized geometry

```
10
Lattice="-3.5641 1.0664 -1.7898 -0.0656 -3.2283 -1.7929 -6.2084 -3.4765 10.2914" Properties=species:S:1:pos:R:3 pbc="T T T"
Cu -3.1878 -3.1942 2.0641
Cu -3.0413 -1.0879 -1.7339
Cu -5.5511 -3.5344 6.5674
Cu -6.7968 -4.5505 8.4426
Cd -5.2790 -1.3258 2.5804
Cu -4.2869 -2.1040 0.1412
Cd -4.5591 -4.3127 4.1283
Sm -1.8570 -0.5213 1.0066
Sm -7.9811 -5.1171 5.7021
Cu -6.6503 -2.4443 4.6446
```

Computed properties:
Fermi-level density of states   0.4031 states/eV per atom
Formation enthalpy at 0 K   -9.4 kJ per mole of atoms
Symmetry   Cmcm
Density   7981 kg/m³

# 10
KIn2IrAu | PBE-GGA | optimized geometry

```
5
Lattice="-4.1260 -0.2239 3.0466 2.5269 -3.1273 3.1923 1.8241 4.3199 2.7880" Properties=species:S:1:pos:R:3 pbc="T T T"
Ir 0.0000 0.0000 0.0000
K 0.1125 0.4843 4.5134
In -2.0630 -0.1120 1.5233
Au 0.9121 2.1599 1.3940
In 1.2634 -1.5636 1.5961
```

Computed properties:
Fermi-level density of states   0.2955 states/eV per atom
Formation enthalpy at 0 K   -10.5 kJ per mole of atoms
Symmetry   P4/mmm
Density   7598 kg/m³

# 11
Tb6Lu | PBE-GGA | optimized geometry

```
7
Lattice="-3.3468 3.6097 4.8786 -3.7473 -0.0305 -5.8299 0.9359 -6.5122 2.1787" Properties=species:S:1:pos:R:3 pbc="T T T"
Tb -3.1792 -2.3765 -2.0634
Tb -4.1497 1.0640 1.2886
Tb -1.9083 -3.0869 2.6158
Tb -2.9789 -0.5564 3.2908
Tb -2.0084 -3.9969 -0.0613
Tb -4.2499 0.1539 -1.3885
Lu 0.0000 0.0000 0.0000
```

Computed properties:
Fermi-level density of states   0.9274 states/eV per atom
Formation enthalpy at 0 K   146.6 kJ per mole of atoms
Symmetry   Im-3m
Density   7313 kg/m³

# 12
K2SiTc | PBE-GGA | optimized geometry

```
4
Lattice="-1.7984 2.2867 -5.0150 -2.5290 0.7193 1.2349 1.0014 4.6632 1.7672" Properties=species:S:1:pos:R:3 pbc="T T T"
K -0.0610 0.0398 0.0400
Tc -2.0449 5.1802 -0.2560
K -0.7028 2.6514 1.4610
Si -1.2811 2.4890 -1.7570
```

Computed properties:
Fermi-level density of states   0.6452 states/eV per atom
Electronic total energy   -3.48 eV per atom
Symmetry   P2/m
Density   4044 kg/m³

# 13
TlAsPbAu | PBE-GGA | optimized geometry

```
4
Lattice="-2.3001 -4.5506 1.0730 0.2297 -3.9095 -3.4368 2.8988 -4.2058 1.0283" Properties=species:S:1:pos:R:3 pbc="T T T"
Tl 0.6213 -9.4994 -1.0017
As 0.0000 0.0000 0.0000
Pb 0.2071 -3.1665 -0.3339
Au 0.4142 -6.3329 -0.6678
```

Computed properties:
Fermi-level density of states   0.4784 states/eV per atom
Formation enthalpy at 0 K   10.7 kJ per mole of atoms
Symmetry   F-43m
Density   11346 kg/m³

# 14
MgBeCo2 | PBE-GGA | optimized geometry

```
4
Lattice="4.0402 -0.0253 -0.0018 0.0337 4.0402 -0.0018 -2.0382 -2.0087 2.8380" Properties=species:S:1:pos:R:3 pbc="T T T"
Mg 2.0371 2.0073 -0.0018
Co 4.0398 -0.0249 -0.0018
Be 2.0180 -0.0117 1.4172
Co 0.0181 2.0176 1.4172
```

Computed properties:
Fermi-level density of states   0.7832 states/eV per atom
Excess energy over the best structure of this formula in the dataset   118 meV/atom
Formation enthalpy at 0 K   10.5 kJ per mole of atoms
Symmetry   I-4m2
Density   5422 kg/m³

# 15
UNbIr2 | PBE-GGA | optimized geometry

```
4
Lattice="-2.7418 -0.7053 0.7563 -0.7500 -0.1192 -2.8302 1.9492 -7.7802 -0.1889" Properties=species:S:1:pos:R:3 pbc="T T T"
U -0.7713 -4.3023 -1.1315
Nb -1.7459 -0.4122 -1.0370
Ir 0.4729 -1.8876 -0.0458
Ir 1.4763 -5.8926 -0.1431
```

Computed properties:
Fermi-level density of states   0.8390 states/eV per atom
Excess energy over the best structure of this formula in the dataset   15 meV/atom
Formation enthalpy at 0 K   -42.9 kJ per mole of atoms
Symmetry   P4/mmm
Density   17243 kg/m³

# 16
Er3In3RuRh2 | PBE-GGA | optimized geometry

```
9
Lattice="-0.3993 -0.7307 3.7202 0.5026 -7.4252 -1.4045 6.2570 4.0100 1.4591" Properties=species:S:1:pos:R:3 pbc="T T T"
In 1.5787 -1.2638 1.8745
Ru 0.0000 0.0000 0.0000
Er 4.0477 -2.0451 0.0327
In 0.1708 -5.8372 0.8251
Er 2.5102 1.6087 0.5854
In 4.4113 2.5897 2.9354
Rh 2.2211 -3.9788 1.4102
Er 0.2016 -2.9789 -0.5635
Rh 4.1392 -0.1671 2.3647
```

Computed properties:
Fermi-level density of states   0.5925 states/eV per atom
Formation enthalpy at 0 K   -61.2 kJ per mole of atoms
Symmetry   P-62m
Density   10111 kg/m³

# 17
AlSeCl2 | PBE-GGA | optimized geometry

```
4
Lattice="3.1304 0.0000 0.0000 0.0000 6.6641 -0.0809 0.0000 3.3604 6.1786" Properties=species:S:1:pos:R:3 pbc="T T T"
Cl 1.5652 2.8215 0.9106
Se 0.0000 6.0836 3.6058
Al 1.5652 7.2410 5.2482
Cl 0.0000 8.9152 5.4797
```

Computed properties:
Fermi-level density of states   0.4508 states/eV per atom
Excess energy over the best structure of this formula in the dataset   1 meV/atom
Symmetry   Pm
Density   2263 kg/m³

# 18
Li2MnSnI6 | PBE-GGA | optimized geometry

```
10
Lattice="-2.7836 -2.9225 6.3737 -4.5654 -5.9998 -0.2795 3.0576 -7.1866 2.5066" Properties=species:S:1:pos:R:3 pbc="T T T"
Sn -4.4192 -11.1625 6.3462
I -4.5184 -7.9414 6.3431
Li -2.3032 -7.9349 4.2871
I -4.1893 -8.0080 1.9258
Li 2.9659 -7.1171 2.4988
I -2.0838 -10.9851 4.2119
I -2.0312 -4.9238 4.2610
I -0.2332 -8.3080 6.5100
I 0.2056 -8.1790 2.5528
Mn -2.3170 -3.0748 2.0429
```

Computed properties:
Electronic total energy   -3.35 eV per atom
Symmetry   R3
Density   4600 kg/m³

# 19
CeEuGePb | PBE-GGA | optimized geometry

```
4
Lattice="5.4166 0.0000 0.0000 2.7083 4.6909 0.0000 2.7083 1.5636 4.4226" Properties=species:S:1:pos:R:3 pbc="T T T"
Ge 2.7083 1.5636 1.1057
Ce 5.4166 3.1273 2.2113
Eu 0.0000 0.0000 0.0000
Pb 8.1249 4.6909 3.3170
```

Computed properties:
Fermi-level density of states   1.8036 states/eV per atom
Formation enthalpy at 0 K   -40.9 kJ per mole of atoms
Symmetry   F-43m
Density   8451 kg/m³

# 20
CaRe2Te | PBE-GGA | optimized geometry

```
4
Lattice="-2.6093 4.0784 -0.8206 -3.1831 -1.7058 -3.3277 0.9025 -1.9948 4.3957" Properties=species:S:1:pos:R:3 pbc="T T T"
Re -2.5884 -1.2571 -0.5031
Re 0.0000 0.0000 0.0000
Ca -2.3015 1.6350 0.7505
Te -2.8962 1.1863 -2.0741
```

Computed properties:
Fermi-level density of states   1.3517 states/eV per atom
Electronic total energy   -6.73 eV per atom
Symmetry   I-4m2
Density   11922 kg/m³

# 21
GaAgSe2N | PBE-GGA | optimized geometry

```
5
Lattice="-2.8872 2.9158 3.3705 -4.2984 -2.8829 -1.1881 0.7986 -2.2885 2.6638" Properties=species:S:1:pos:R:3 pbc="T T T"
Ag -3.1935 -1.1278 2.4231
Ga 0.0000 0.0000 0.0000
N 0.3993 -1.1442 1.3319
Se -2.1492 -1.4414 -0.5941
Se -1.4436 1.4579 1.6853
```

Computed properties:
Fermi-level density of states   0.7618 states/eV per atom
Excess energy over the best structure of this formula in the dataset   0 meV/atom
Symmetry   P4/mmm
Density   5715 kg/m³

# 22
GeBi2Te | PBE-GGA | optimized geometry

```
8
Lattice="-0.2257 7.3587 -1.0004 -1.6023 0.9290 7.1953 4.6648 4.4781 4.2966" Properties=species:S:1:pos:R:3 pbc="T T T"
Ge 1.0742 4.7755 7.2947
Te 1.7625 7.9903 3.1968
Bi 1.9552 10.5778 8.3909
Ge -0.9140 4.1439 3.0974
Bi 0.8327 5.5771 1.3833
Bi 2.7570 6.4990 5.7976
Bi 0.1286 2.8778 5.4111
Te 0.0000 0.0000 0.0000
```

Computed properties:
Fermi-level density of states   0.2804 states/eV per atom
Excess energy over the best structure of this formula in the dataset   182 meV/atom
Symmetry   I-42d
Density   6507 kg/m³

# 23
Tb3ZrNi8 | PBE-GGA | optimized geometry

```
12
Lattice="-0.6735 -4.3126 -2.5177 3.9734 -2.4781 -1.8606 1.7694 -6.4849 5.5924" Properties=species:S:1:pos:R:3 pbc="T T T"
Ni 1.4479 -6.3617 -2.0813
Ni 4.6358 -8.6523 0.9540
Ni 4.3018 -10.7912 -0.2947
Tb 2.7859 -8.2221 3.2537
Ni 3.9273 -10.7470 2.2307
Zr 3.5503 -8.3697 -1.7406
Tb 2.5336 -6.6312 0.5960
Ni 1.7827 -4.2183 -0.8300
Ni 1.3929 -4.1108 1.6263
Tb 3.3014 -6.7999 -4.3628
Ni 2.3311 -9.5621 0.6281
Ni 3.7575 -5.4500 -1.7548
```

Computed properties:
Fermi-level density of states   0.4561 states/eV per atom
Formation enthalpy at 0 K   -39.8 kJ per mole of atoms
Symmetry   R3m
Density   9502 kg/m³

# 24
TmMgGaPt | PBE-GGA | optimized geometry

```
4
Lattice="4.7604 0.0000 0.0000 2.3802 4.1226 0.0000 2.3802 1.3742 3.8869" Properties=species:S:1:pos:R:3 pbc="T T T"
Tm 0.0000 0.0000 0.0000
Ga 2.3802 1.3742 0.9717
Mg 4.7604 2.7484 1.9434
Pt 7.1406 4.1226 2.9151
```

Computed properties:
Fermi-level density of states   0.4475 states/eV per atom
Formation enthalpy at 0 K   -75.2 kJ per mole of atoms
Symmetry   F-43m
Density   9971 kg/m³

# 25
InCuO2 | PBE-GGA | optimized geometry

```
4
Lattice="3.4772 0.0000 0.0000 1.7386 3.0114 0.0000 1.7386 1.0038 5.4248" Properties=species:S:1:pos:R:3 pbc="T T T"
In 3.4772 2.0076 3.0253
O 3.4772 2.0076 5.1428
O 5.2159 3.0114 2.2806
Cu 1.7386 1.0038 5.4036
```

Computed properties:
Fermi-level density of states   0.3878 states/eV per atom
Electronic total energy   -5.07 eV per atom
Symmetry   R3m
Density   6149 kg/m³

# 26
Ta3MnB | PBE-GGA | optimized geometry

```
5
Lattice="-3.9646 -1.3399 -1.6841 -1.0748 -1.8255 3.9827 -1.8645 3.9015 1.2851" Properties=species:S:1:pos:R:3 pbc="T T T"
Ta -0.9323 1.9507 0.6426
Mn 0.0000 0.0000 0.0000
Ta -1.9823 -0.6700 -0.8420
B -3.4519 0.3680 1.7919
Ta -0.5374 -0.9128 1.9913
```

Computed properties:
Fermi-level density of states   0.5008 states/eV per atom
Excess energy over the best structure of this formula in the dataset   1181 meV/atom
Formation enthalpy at 0 K   141.8 kJ per mole of atoms
Symmetry   Pm-3m
Density   11009 kg/m³

# 27
Sc4InPt5 | PBE-GGA | optimized geometry

```
10
Lattice="-1.7238 0.4479 -2.7557 -0.2566 -3.2504 -0.3677 -14.2113 0.1143 8.9086" Properties=species:S:1:pos:R:3 pbc="T T T"
Pt -2.5118 -1.3890 -0.6079
Sc -8.5373 0.0686 5.3518
Pt -5.2615 -1.3669 1.1158
Sc -11.3986 0.0916 7.1454
Sc -2.8127 0.0226 1.7632
Sc -5.6740 0.0456 3.5568
Pt -13.6800 -1.2992 6.3930
Pt -8.0959 -1.3441 2.8926
In 0.0000 0.0000 0.0000
Pt -10.9303 -1.3213 4.6693
```

Computed properties:
Fermi-level density of states   0.4162 states/eV per atom
Formation enthalpy at 0 K   -106.7 kJ per mole of atoms
Symmetry   P4/mmm
Density   11679 kg/m³